No. 1
A plane-wave DFT calculation with GGA-PBE was carried out for HfCuB after structural relaxation.

abc: 5.0040 4.7585 3.3900
angles: 110.88 90.00 90.00
With the nearest neighbours (Å) after each atom.
Positions (direct):
1 Hf 0.7937 0.0968 0.1989  5 B 2.44-2.69
2 Hf 0.2937 0.2841 0.7922  5 B 2.44-2.69
3 B 0.7938 0.4924 0.8965  4 Cu 2.28, 2 Hf 2.44
4 B 0.2937 0.8884 0.0947  4 Cu 2.28, 2 Hf 2.44
5 Cu 0.0436 0.6904 0.4956  4 B 2.28, 2 Cu 2.50
6 Cu 0.5436 0.6905 0.4956  4 B 2.28, 2 Cu 2.50

- size of the total moment (μB per cell) = 0.00
- DFT formation energy (kcal/mol of atoms) = -6.14
- D(E_F) (states/eV per cell) = 3.04
- SG = Cmcm (63)

No. 2
A plane-wave DFT calculation with GGA-PBE was carried out for HfCuB after structural relaxation.

abc: 6.1339 3.4679 7.0582
angles: 90.00 90.00 90.00
With the nearest neighbours (Å) after each atom.
Positions (direct):
1 B 0.2510 0.2500 0.6255  4 Cu 2.24-2.47, 2 Hf 2.47
2 B 0.2490 0.7500 0.1255  4 Cu 2.24-2.47, 2 Hf 2.47
3 B 0.7490 0.7500 0.3745  4 Cu 2.24-2.47, 2 Hf 2.47
4 B 0.7510 0.2500 0.8745  4 Cu 2.24-2.47, 2 Hf 2.47
5 Hf 0.5312 0.7500 0.6807  5 B 2.47-2.59, 1 Cu 2.71
6 Hf 0.4688 0.2500 0.3193  5 B 2.47-2.59, 1 Cu 2.71
7 Hf 0.9688 0.2500 0.1807  5 B 2.47-2.59, 1 Cu 2.71
8 Hf 0.0312 0.7500 0.8193  5 B 2.47-2.59, 1 Cu 2.71
9 Cu 0.3571 0.2500 0.9471  4 B 2.24-2.47
10 Cu 0.1429 0.7500 0.4471  4 B 2.24-2.47
11 Cu 0.8571 0.2500 0.5529  4 B 2.24-2.47
12 Cu 0.6429 0.7500 0.0529  4 B 2.24-2.47

- size of the total moment (μB per cell) = 0.00
- DFT formation energy (kcal/mol of atoms) = -8.91
- D(E_F) (states/eV per cell) = 1.45
- SG = Pnma (62)

No. 3
A plane-wave DFT calculation with GGA-PBE was carried out for HfCuB after structural relaxation.

abc: 3.1386 9.3761 3.1385
angles: 90.00 120.00 90.00
With the nearest neighbours (Å) after each atom.
Positions (direct):
1 B 0.8660 0.4260 0.4970  3 B 1.81
2 B 0.5327 0.4279 0.8304  3 B 1.81
3 Hf 0.1994 0.6092 0.1637  6 B 2.48-2.50
4 Hf 0.1993 0.2446 0.1637  6 B 2.48-2.50
5 Cu 0.5323 0.0182 0.8301  3 Cu 2.49
6 Cu 0.8670 0.8356 0.4974  3 Cu 2.49

- size of the total moment (μB per cell) = 0.00
- DFT formation energy (kcal/mol of atoms) = -9.84
- D(E_F) (states/eV per cell) = 1.97
- SG = P-3m1 (164)

No. 4
A plane-wave DFT calculation with GGA-PBE was carried out for HfCuB after structural relaxation.

abc: 3.4208 3.4208 9.2430
angles: 90.00 90.00 120.00
With the nearest neighbours (Å) after each atom.
Positions (direct):
1 Hf 0.0000 0.0000 0.5000  2 B 2.31
2 Hf 0.0000 0.0000 0.0000  2 B 2.31
3 Cu 0.6667 0.3333 0.7500  3 B 1.98
4 Cu 0.3333 0.6667 0.2500  3 B 1.98
5 B 0.0000 0.0000 0.7500  3 Cu 1.98
6 B 0.0000 0.0000 0.2500  3 Cu 1.98

- size of the total moment (μB per cell) = 0.00
- DFT formation energy (kcal/mol of atoms) = 10.51
- D(E_F) (states/eV per cell) = 3.80
- SG = P6_3/mmc (194)

No. 5
A plane-wave DFT calculation with GGA-PBE was carried out for HfCuB after structural relaxation.

abc: 3.0855 7.7459 3.3636
angles: 77.49 90.00 89.99
With the nearest neighbours (Å) after each atom.
Positions (direct):
1 Cu 0.2832 0.5755 0.9435  6 B 2.23-2.37
2 Cu 0.2832 0.0372 0.7121  1 B 2.61, 8 Hf 2.81-2.82
3 Hf 0.7826 0.2546 0.1035  6 B 2.46-2.48
4 Hf 0.7826 0.8190 0.3215  1 B 2.47
5 B 0.2825 0.3826 0.5398  2 B 1.75
6 B 0.7825 0.4925 0.4848  2 B 1.75

- size of the total moment (μB per cell) = 0.15
- DFT formation energy (kcal/mol of atoms) = -4.63
- D(E_F) (states/eV per cell) = 4.22
- SG = Amm2 (38)

No. 6
A plane-wave DFT calculation with GGA-PBE was carried out for HfCuB after structural relaxation.

abc: 4.6006 6.1995 3.1037
angles: 90.00 109.67 87.54
With the nearest neighbours (Å) after each atom.
Positions (direct):
1 Hf 0.8334 0.8963 0.2017  3 B 2.40-2.48, 3 Cu 2.67-2.69
2 Hf 0.2771 0.2664 0.9242  6 B 2.42-2.48
3 Cu 0.7091 0.5385 0.6397  3 B 2.09-2.28
4 Cu 0.2832 0.7200 0.9267  3 Cu 2.62-2.78, 4 Hf 2.67-2.81
5 B 0.8463 0.2827 0.2079  2 B 1.73-1.74
6 B 0.7176 0.2007 0.6447  2 B 1.73-1.74

- size of the total moment (μB per cell) = 0.00
- DFT formation energy (kcal/mol of atoms) = -4.68
- D(E_F) (states/eV per cell) = 2.65
- SG = Cm (8)

Among the records above, which one has the lowest D(E_F)?
number 2

What is the D(E_F) in the sixth record?
2.65 states/eV per cell